BaPrCd4, optimized geometry, DFT GGA-PBE; polymorph energy (0 for the lowest one) = 0 kJ/mol of formula units; M_tot = 0.0 μB/f.u.; Fermi-level density of states = 5.1 states/eV per cell
1.0
-2.2070 2.1969 -2.0341
-3.3833 0.2693 3.9625
4.3002 7.2625 3.1780
Pr Cd Ba
1 4 1
Direct
0.9985 0.4973 0.9981
0.4987 0.4973 0.6766
0.4986 0.9973 0.1566
0.4986 0.4973 0.3197
0.4985 0.9973 0.8397
0.9986 0.9973 0.4981

BaPr2Cd2, optimized geometry, DFT GGA-PBE; energy = -2.79 eV/atom; M_tot = 0.0 μB/f.u.; Fermi-level density of states = 5.9 states/eV per cell
1.0
3.9403 0.0000 0.0000
0.0000 3.9989 0.7577
0.0000 -0.0297 11.0885
Cd Pr Ba
2 2 1
Direct
0.5000 0.6075 0.7850
0.5000 0.3925 0.2150
0.0000 0.1832 0.6336
0.0000 0.8168 0.3664
0.0000 0.0000 0.0000

Which value of M_tot does entry 2 give? 0.0 μB/f.u.

What did the first record say?
BaPrCd4, optimized geometry, DFT GGA-PBE; polymorph energy (0 for the lowest one) = 0 kJ/mol of formula units; M_tot = 0.0 μB/f.u.; Fermi-level density of states = 5.1 states/eV per cell
1.0
-2.2070 2.1969 -2.0341
-3.3833 0.2693 3.9625
4.3002 7.2625 3.1780
Pr Cd Ba
1 4 1
Direct
0.9985 0.4973 0.9981
0.4987 0.4973 0.6766
0.4986 0.9973 0.1566
0.4986 0.4973 0.3197
0.4985 0.9973 0.8397
0.9986 0.9973 0.4981